Entry 1:
Here is a relaxed structure of DyInPb2 from Alexandria. Energies are from GGA-PBE.

Calculated values
Relative energy among the computed polymorphs   0.241 eV/atom
Total energy   -0.138 Ha/atom
Size of the total moment   0.00 μB/f.u.
Energy relative to the elements   -0.066 eV/atom

Cell: 4.778 4.778 6.964 Å, 69.93 69.93 60.00°
Sites, in units of the cell vectors:
Dy1 0.670 0.670 0.990
In1 0.496 0.496 0.512
Pb1 0.081 0.081 0.758
Pb2 0.253 0.253 0.241


Entry 2:
Here is a relaxed structure of Dy3Y6Tl from Alexandria. Energies are from GGA-PBE.

Calculated values
Relative energy among the computed polymorphs   0.000 eV/atom
Total energy   -0.204 Ha/atom
Size of the total moment   0.00 μB/f.u.
Energy relative to the elements   -0.042 eV/atom

Cell: 5.033 10.961 11.329 Å, 92.63 90.00 90.00°
Sites, in units of the cell vectors:
Dy1 0.250 0.553 0.401
Dy2 0.750 0.447 0.599
Dy3 0.250 0.343 0.792
Dy4 0.750 0.657 0.208
Dy5 0.250 0.752 0.013
Dy6 0.750 0.248 0.987
Y1 0.250 0.451 0.100
Y2 0.750 0.549 0.900
Y3 0.250 0.157 0.186
Y4 0.750 0.843 0.814
Y5 0.250 0.650 0.703
Y6 0.750 0.350 0.297
Y7 0.250 0.229 0.490
Y8 0.750 0.771 0.510
Y9 0.250 0.874 0.322
Y10 0.750 0.126 0.678
Y11 0.250 0.046 0.895
Y12 0.750 0.954 0.105
Tl1 0.250 0.936 0.622
Tl2 0.750 0.064 0.378


Entry 3:
Here is a relaxed structure of AcTb2NdHo5 from Alexandria. Energies are from GGA-PBE.

Calculated values
Total energy   -0.158 Ha/atom
Size of the total moment   0.00 μB/f.u.
Energy relative to the elements   0.265 eV/atom

Cell: 8.885 8.885 9.920 Å, 116.60 116.60 90.00°
Sites, in units of the cell vectors:
Ac1 0.250 0.250 0.500
Ac2 0.750 0.750 0.500
Tb1 0.115 0.385 0.000
Tb2 0.615 0.115 0.000
Tb3 0.385 0.885 0.000
Tb4 0.885 0.615 0.000
Nd1 0.250 0.750 0.500
Nd2 0.750 0.250 0.500
Ho1 0.925 0.425 0.255
Ho2 0.670 0.170 0.745
Ho3 0.075 0.575 0.745
Ho4 0.170 0.075 0.745
Ho5 0.575 0.670 0.745
Ho6 0.830 0.925 0.255
Ho7 0.425 0.330 0.255
Ho8 0.330 0.830 0.255
Ho9 0.500 0.500 0.000
Ho10 0.000 0.000 0.000